# 1
DFT (PBEsol) results for crystalline Be2CdAu2 at its relaxed geometry.

## Properties
Symmetry: I4/mmm (139)
Energy of formation: -0.73 eV per formula unit
Fermi-level density of states: 1.2 states/eV per cell
Relative energy among the computed polymorphs: 0.0000 eV per atom

abc: 6.780 6.780 6.780
angles: 150.93 150.93 41.58
Fractional positions:
Be  0.250  0.750  0.500
Be  0.750  0.250  0.500
Cd  0.000  0.000  0.000
Au  0.378  0.378  0.000
Au  0.622  0.622  0.000



# 2
DFT (PBEsol) results for crystalline Ba2Zr6BCl17 at its relaxed geometry.

## Properties
Symmetry: I4/m (87)

abc: 9.499 9.499 9.499
angles: 105.61 105.61 117.51
Fractional positions:
Ba  0.250  0.750  0.500
Ba  0.750  0.250  0.500
Zr  0.067  0.813  0.880
Zr  0.187  0.067  0.254
Zr  0.234  0.234  0.000
Zr  0.766  0.766  0.000
Zr  0.813  0.933  0.746
Zr  0.933  0.187  0.120
B  0.000  0.000  0.000
Cl  0.046  0.182  0.718
Cl  0.133  0.281  0.414
Cl  0.134  0.592  0.727
Cl  0.182  0.464  0.136
Cl  0.281  0.867  0.148
Cl  0.328  0.046  0.864
Cl  0.408  0.134  0.542
Cl  0.464  0.328  0.282
Cl  0.500  0.500  0.000
Cl  0.536  0.672  0.718
Cl  0.592  0.866  0.458
Cl  0.672  0.954  0.136
Cl  0.719  0.133  0.852
Cl  0.818  0.536  0.864
Cl  0.866  0.408  0.273
Cl  0.867  0.719  0.586
Cl  0.954  0.818  0.282



# 3
DFT (PBEsol) results for crystalline SrCdP at its relaxed geometry.

## Properties
Symmetry: P3m1 (156)
Energy of formation: -1.70 eV per formula unit
Fermi-level density of states: 1.6 states/eV per cell
Relative energy among the computed polymorphs: 0.0000 eV per atom

abc: 4.394 4.394 4.416
angles: 90.00 90.00 120.00
Fractional positions:
Sr  0.000  0.000  0.000
Cd  0.333  0.667  0.516
P  0.667  0.333  0.473



# 4
DFT (PBEsol) results for crystalline RbScAsBr2 at its relaxed geometry.

## Properties
Symmetry: P4/mmm (123)
Fermi-level density of states: 3.7 states/eV per cell

abc: 5.371 5.371 5.214
angles: 90.00 90.00 90.00
Fractional positions:
Rb  0.000  0.000  0.000
Sc  0.500  0.500  0.500
As  0.500  0.500  0.000
Br  0.000  0.500  0.500
Br  0.500  0.000  0.500



# 5
DFT (PBEsol) results for crystalline Sn2MoPbS at its relaxed geometry.

## Properties
Symmetry: P4/mmm (123)
Fermi-level density of states: 3.5 states/eV per cell

abc: 5.093 5.093 5.286
angles: 90.00 90.00 90.00
Fractional positions:
Sn  0.000  0.500  0.000
Sn  0.500  0.000  0.000
Mo  0.000  0.000  0.500
Pb  0.500  0.500  0.500
S  0.500  0.500  0.000



# 6
DFT (PBEsol) results for crystalline TlW at its relaxed geometry.

## Properties
Symmetry: R-3m (166)
Energy of formation: 1.97 eV per formula unit
Fermi-level density of states: 2.3 states/eV per cell
Relative energy among the computed polymorphs: 0.0000 eV per atom

abc: 5.560 5.560 5.560
angles: 46.97 46.97 46.97
Fractional positions:
Tl  0.112  0.112  0.112
Tl  0.888  0.888  0.888
W  0.325  0.325  0.325
W  0.675  0.675  0.675



# 7
DFT (PBEsol) results for crystalline Ti4Pb2O9F2 at its relaxed geometry.

## Properties
Symmetry: C2/m (12)
Fermi-level density of states: 0.0 states/eV per cell

abc: 7.614 7.614 10.253
angles: 131.44 131.44 28.96
Fractional positions:
Ti  0.121  0.121  0.046
Ti  0.160  0.160  0.725
Ti  0.840  0.840  0.275
Ti  0.879  0.879  0.954
Pb  0.417  0.417  0.661
Pb  0.583  0.583  0.339
O  0.000  0.000  0.500
O  0.062  0.062  0.164
O  0.119  0.119  0.852
O  0.303  0.303  0.259
O  0.352  0.352  0.930
O  0.648  0.648  0.070
O  0.697  0.697  0.741
O  0.881  0.881  0.148
O  0.938  0.938  0.836
F  0.214  0.214  0.563
F  0.786  0.786  0.437



# 8
DFT (PBEsol) results for crystalline K2LiY at its relaxed geometry.

## Properties
Symmetry: P4/mmm (123)
Energy of formation: 2.22 eV per formula unit
Fermi-level density of states: 4.9 states/eV per cell

abc: 6.911 6.911 3.679
angles: 90.00 90.00 90.00
Fractional positions:
K  0.000  0.500  0.000
K  0.500  0.000  0.000
Li  0.000  0.000  0.500
Y  0.500  0.500  0.500



# 9
DFT (PBEsol) results for crystalline Ni3HRh at its relaxed geometry.

## Properties
Symmetry: Pm-3m (221)
Fermi-level density of states: 7.8 states/eV per cell
Relative energy among the computed polymorphs: 1.8667 eV per atom

abc: 4.464 4.464 4.464
angles: 90.00 90.00 90.00
Fractional positions:
Ni  0.000  0.000  0.500
Ni  0.000  0.500  0.000
Ni  0.500  0.000  0.000
H  0.500  0.500  0.500
Rh  0.000  0.000  0.000



# 10
DFT (PBEsol) results for crystalline Nd4S3Br6 at its relaxed geometry.

## Properties
Symmetry: C2/c (15)
Fermi-level density of states: 0.0 states/eV per cell

abc: 14.888 14.888 7.128
angles: 94.57 94.57 26.40
Fractional positions:
Nd  0.023  0.635  0.905
Nd  0.136  0.751  0.518
Nd  0.249  0.864  0.982
Nd  0.365  0.977  0.595
Nd  0.635  0.023  0.405
Nd  0.751  0.136  0.018
Nd  0.864  0.249  0.482
Nd  0.977  0.365  0.095
S  0.055  0.945  0.250
S  0.062  0.171  0.790
S  0.171  0.062  0.290
S  0.829  0.938  0.710
S  0.938  0.829  0.210
S  0.945  0.055  0.750
Br  0.153  0.318  0.815
Br  0.249  0.441  0.553
Br  0.318  0.153  0.315
Br  0.336  0.561  0.895
Br  0.439  0.664  0.605
Br  0.441  0.249  0.053
Br  0.559  0.751  0.947
Br  0.561  0.336  0.395
Br  0.664  0.439  0.105
Br  0.682  0.847  0.685
Br  0.751  0.559  0.447
Br  0.847  0.682  0.185



# 11
DFT (PBEsol) results for crystalline Cs3FePd at its relaxed geometry.

## Properties
Symmetry: Pm-3m (221)
Energy of formation: 4.45 eV per formula unit
Fermi-level density of states: 4.9 states/eV per cell

abc: 6.382 6.382 6.382
angles: 90.00 90.00 90.00
Fractional positions:
Cs  0.000  0.000  0.500
Cs  0.000  0.500  0.000
Cs  0.500  0.000  0.000
Fe  0.500  0.500  0.500
Pd  0.000  0.000  0.000



# 12
DFT (PBEsol) results for crystalline LiCoP2 at its relaxed geometry.

## Properties
Symmetry: P2/m (10)
Energy of formation: -1.48 eV per formula unit
Fermi-level density of states: 0.9 states/eV per cell
Relative energy among the computed polymorphs: 0.0000 eV per atom

abc: 2.693 2.694 6.690
angles: 90.00 90.07 90.00
Fractional positions:
Li  0.000  0.000  0.000
Co  0.000  0.000  0.500
P  0.499  0.500  0.290
P  0.501  0.500  0.710



Calculated theoretical density, 11.9; 3.7; 5.2; 4.0; 6.9; 15.4; 6.2; 1.6; 5.2; 5.5; 3.6; 4.4 g cm⁻³ (same order as the records).
Calculated E_tot, -3.56; -5.81; -3.51; -4.40; -4.69; -7.23; -8.16; -2.21; -4.09; -5.44; -2.66; -5.69 eV/atom (same order as the records).